Ac6Ru2RhBr3 | GGA-PBE | relaxed

Lattice parameters (Å, degrees): 7.472 7.472 8.654 98.27 98.27 120.00
Element x y z (fractional)
Ac 0.935 0.597 0.805
Ac 0.727 0.727 0.195
Ac 0.065 0.403 0.195
Ac 0.597 0.935 0.805
Ac 0.273 0.273 0.805
Ac 0.403 0.065 0.195
Ru 0.334 0.666 0.000
Ru 0.666 0.334 0.000
Rh 0.000 0.000 0.000
Br 0.169 0.831 0.500
Br 0.831 0.169 0.500
Br 0.500 0.500 0.500

Values from the calculation:
ΔE_f (raw)	-0.947	eV/atom
electronic total energy	-66.94	eV for the cell shown
M_tot	0.00	μB/f.u.
theoretical density	7.90	Mg/m³

***

Ac6RuRh2Br2 | GGA-PBE | relaxed

Lattice parameters (Å, degrees): 7.521 7.521 8.551 98.33 98.33 120.16
Element x y z (fractional)
Ac 0.737 0.737 0.695
Ac 0.064 0.394 0.696
Ac 0.263 0.263 0.305
Ac 0.394 0.064 0.696
Ac 0.936 0.606 0.304
Ac 0.606 0.936 0.304
Ru 0.000 0.000 0.500
Rh 0.331 0.669 0.500
Rh 0.669 0.331 0.500
Br 0.835 0.165 0.000
Br 0.165 0.835 0.000

Values from the calculation:
ΔE_f (raw)	-0.864	eV/atom
electronic total energy	-61.48	eV for the cell shown
M_tot	0.24	μB/f.u.
theoretical density	7.59	Mg/m³

***

Ac8Rh3SBr4 | GGA-PBE | relaxed

Lattice parameters (Å, degrees): 8.770 9.648 8.769 117.06 120.00 90.00
Element x y z (fractional)
Ac 0.239 0.698 0.959
Ac 0.239 0.698 0.478
Ac 0.269 0.307 0.538
Ac 0.720 0.698 0.959
Ac 0.280 0.302 0.041
Ac 0.731 0.693 0.462
Ac 0.761 0.302 0.522
Ac 0.761 0.302 0.041
Rh 0.500 0.500 0.000
Rh 0.500 0.500 0.500
Rh 0.000 0.500 0.500
S 0.000 0.500 0.000
Br 0.500 0.000 0.000
Br 0.500 0.000 0.500
Br 0.000 0.000 0.000
Br 0.000 0.000 0.500

Values from the calculation:
ΔE_f (raw)	-1.228	eV/atom
electronic total energy	-85.39	eV for the cell shown
M_tot	0.00	μB/f.u.
theoretical density	7.52	Mg/m³

***

Ac6SbRh2Br3 | GGA-PBE | relaxed

Lattice parameters (Å, degrees): 7.858 7.858 8.499 98.94 98.94 119.89
Element x y z (fractional)
Ac 0.931 0.567 0.796
Ac 0.704 0.704 0.204
Ac 0.069 0.433 0.204
Ac 0.567 0.931 0.796
Ac 0.296 0.296 0.796
Ac 0.433 0.069 0.204
Sb 0.000 0.000 0.000
Rh 0.333 0.667 0.000
Rh 0.667 0.333 0.000
Br 0.159 0.841 0.500
Br 0.841 0.159 0.500
Br 0.500 0.500 0.500

Values from the calculation:
ΔE_f (raw)	-1.127	eV/atom
electronic total energy	-62.02	eV for the cell shown
M_tot	0.00	μB/f.u.
theoretical density	7.41	Mg/m³

***

Ac4SbRhBr2 | GGA-PBE | relaxed

Lattice parameters (Å, degrees): 4.424 8.379 8.221 106.89 90.00 90.00
Element x y z (fractional)
Ac 0.500 0.266 0.219
Ac 0.500 0.734 0.781
Ac 0.000 0.295 0.800
Ac 0.000 0.705 0.200
Sb 0.000 0.000 0.000
Rh 0.500 0.500 0.000
Br 0.500 0.000 0.500
Br 0.000 0.500 0.500

Values from the calculation:
ΔE_f (raw)	-1.135	eV/atom
electronic total energy	-40.34	eV for the cell shown
M_tot	0.00	μB/f.u.
theoretical density	7.36	Mg/m³

***

Ac3RhSeBr | GGA-PBE | relaxed

Lattice parameters (Å, degrees): 4.374 11.075 8.328 91.91 90.00 90.00
Element x y z (fractional)
Ac 0.250 0.799 0.388
Ac 0.750 0.806 0.939
Ac 0.750 0.503 0.214
Ac 0.750 0.201 0.612
Ac 0.250 0.497 0.786
Ac 0.250 0.194 0.061
Rh 0.250 0.668 0.080
Rh 0.750 0.332 0.920
Se 0.750 0.665 0.583
Se 0.250 0.335 0.417
Br 0.250 0.989 0.701
Br 0.750 0.011 0.299

Values from the calculation:
ΔE_f (raw)	-1.284	eV/atom
electronic total energy	-65.08	eV for the cell shown
M_tot	0.00	μB/f.u.
theoretical density	7.76	Mg/m³

***

Ac8Rh3SeBr4 | GGA-PBE | relaxed

Lattice parameters (Å, degrees): 8.863 9.650 8.862 117.36 120.00 90.00
Element x y z (fractional)
Ac 0.243 0.700 0.957
Ac 0.243 0.700 0.486
Ac 0.269 0.307 0.538
Ac 0.714 0.700 0.957
Ac 0.286 0.300 0.043
Ac 0.731 0.693 0.462
Ac 0.757 0.300 0.514
Ac 0.757 0.300 0.043
Rh 0.500 0.500 0.000
Rh 0.500 0.500 0.500
Rh 0.000 0.500 0.500
Se 0.000 0.500 0.000
Br 0.500 0.000 0.000
Br 0.500 0.000 0.500
Br 0.000 0.000 0.000
Br 0.000 0.000 0.500

Values from the calculation:
ΔE_f (raw)	-1.207	eV/atom
electronic total energy	-84.41	eV for the cell shown
M_tot	0.00	μB/f.u.
theoretical density	7.53	Mg/m³

***

Ac6Rh3Se2Br | GGA-PBE | relaxed

Lattice parameters (Å, degrees): 4.311 9.326 10.245 108.81 102.15 90.00
Element x y z (fractional)
Ac 0.322 0.931 0.645
Ac 0.661 0.596 0.323
Ac 0.678 0.069 0.355
Ac 0.993 0.277 0.985
Ac 0.007 0.723 0.015
Ac 0.339 0.404 0.677
Rh 0.500 0.500 0.000
Rh 0.834 0.169 0.668
Rh 0.166 0.831 0.332
Se 0.836 0.674 0.672
Se 0.164 0.326 0.328
Br 0.500 0.000 0.000

Values from the calculation:
ΔE_f (raw)	-1.221	eV/atom
electronic total energy	-70.00	eV for the cell shown
M_tot	0.00	μB/f.u.
theoretical density	8.34	Mg/m³

***

Ac6SiRh2Br3 | GGA-PBE | relaxed

Lattice parameters (Å, degrees): 7.710 7.710 8.520 98.65 98.65 119.98
Element x y z (fractional)
Ac 0.934 0.588 0.801
Ac 0.719 0.719 0.199
Ac 0.066 0.412 0.199
Ac 0.588 0.934 0.801
Ac 0.281 0.281 0.801
Ac 0.412 0.066 0.199
Si 0.000 0.000 0.000
Rh 0.333 0.667 0.000
Rh 0.667 0.333 0.000
Br 0.162 0.838 0.500
Br 0.838 0.162 0.500
Br 0.500 0.500 0.500

Values from the calculation:
ΔE_f (raw)	-1.059	eV/atom
electronic total energy	-62.50	eV for the cell shown
M_tot	0.00	μB/f.u.
theoretical density	7.29	Mg/m³

***

Ac8Si3RhBr4 | GGA-PBE | relaxed

Lattice parameters (Å, degrees): 9.080 9.303 9.083 119.23 119.99 90.00
Element x y z (fractional)
Ac 0.231 0.708 0.977
Ac 0.232 0.709 0.464
Ac 0.261 0.282 0.521
Ac 0.746 0.708 0.977
Ac 0.254 0.292 0.023
Ac 0.739 0.718 0.479
Ac 0.768 0.291 0.536
Ac 0.769 0.292 0.023
Si 0.500 0.500 0.000
Si 0.500 0.500 0.500
Si 0.000 0.500 0.500
Rh 0.000 0.500 0.000
Br 0.500 0.000 0.000
Br 0.500 0.000 0.500
Br 0.000 0.000 0.000
Br 0.000 0.000 0.500

Values from the calculation:
ΔE_f (raw)	-1.042	eV/atom
electronic total energy	-79.85	eV for the cell shown
M_tot	0.01	μB/f.u.
theoretical density	7.03	Mg/m³

***

Ac6SiRh2Br2 | GGA-PBE | relaxed

Lattice parameters (Å, degrees): 7.698 7.698 8.069 98.84 98.84 118.37
Element x y z (fractional)
Ac 0.714 0.714 0.706
Ac 0.074 0.414 0.710
Ac 0.286 0.286 0.294
Ac 0.414 0.074 0.710
Ac 0.926 0.586 0.290
Ac 0.586 0.926 0.290
Si 0.000 0.000 0.500
Rh 0.330 0.670 0.500
Rh 0.670 0.330 0.500
Br 0.841 0.159 0.000
Br 0.159 0.841 0.000

Values from the calculation:
ΔE_f (raw)	-0.853	eV/atom
electronic total energy	-57.51	eV for the cell shown
M_tot	0.00	μB/f.u.
theoretical density	7.26	Mg/m³

***

Ac4SiRhBr2 | GGA-PBE | relaxed

Lattice parameters (Å, degrees): 4.374 7.994 8.264 106.21 90.00 90.00
Element x y z (fractional)
Ac 0.500 0.247 0.203
Ac 0.500 0.753 0.797
Ac 0.000 0.278 0.801
Ac 0.000 0.722 0.199
Si 0.000 0.000 0.000
Rh 0.500 0.500 0.000
Br 0.500 0.000 0.500
Br 0.000 0.500 0.500

Values from the calculation:
ΔE_f (raw)	-1.043	eV/atom
electronic total energy	-40.90	eV for the cell shown
M_tot	0.00	μB/f.u.
theoretical density	7.17	Mg/m³

***

Ac6Si2RhBr3 | GGA-PBE | relaxed

Lattice parameters (Å, degrees): 4.452 9.537 10.259 104.46 102.53 90.00
Element x y z (fractional)
Ac 0.349 0.895 0.699
Ac 0.675 0.566 0.350
Ac 0.651 0.105 0.301
Ac 0.004 0.220 0.009
Ac 0.996 0.780 0.991
Ac 0.325 0.434 0.650
Si 0.837 0.663 0.673
Si 0.163 0.337 0.327
Rh 0.500 0.000 0.000
Br 0.500 0.500 0.000
Br 0.825 0.161 0.649
Br 0.175 0.839 0.351

Values from the calculation:
ΔE_f (raw)	-1.046	eV/atom
electronic total energy	-60.42	eV for the cell shown
M_tot	0.00	μB/f.u.
theoretical density	7.11	Mg/m³

***

Ac2SmRh2Br2 | GGA-PBE | relaxed

Lattice parameters (Å, degrees): 5.219 5.219 9.061 106.74 106.74 90.00
Element x y z (fractional)
Ac 0.386 0.386 0.773
Ac 0.614 0.614 0.227
Sm 0.000 0.000 0.000
Rh 0.000 0.500 0.000
Rh 0.500 0.000 0.000
Br 0.193 0.193 0.386
Br 0.807 0.807 0.614

Values from the calculation:
ΔE_f (raw)	-0.955	eV/atom
electronic total energy	-37.67	eV for the cell shown
M_tot	0.00	μB/f.u.
theoretical density	7.15	Mg/m³

***

AcSmRhBr | GGA-PBE | relaxed

Lattice parameters (Å, degrees): 4.190 4.190 8.466 90.01 104.32 120.00
Element x y z (fractional)
Ac 0.510 0.153 0.679
Sm 0.101 0.948 0.065
Rh 0.313 0.554 0.882
Br 0.954 0.375 0.344

Values from the calculation:
ΔE_f (raw)	-1.106	eV/atom
electronic total energy	-22.28	eV for the cell shown
M_tot	0.00	μB/f.u.
theoretical density	7.54	Mg/m³

***

Ac3SnRhBr | GGA-PBE | relaxed

Lattice parameters (Å, degrees): 4.699 8.531 10.828 111.79 90.00 90.00
Each line ends with the local moment (μB).
Element x y z (fractional)
Ac 0.250 0.699 0.490  0.06
Ac 0.750 0.918 0.110  0.01
Ac 0.750 0.470 0.144  0.01
Ac 0.750 0.301 0.510  0.06
Ac 0.250 0.530 0.856  0.01
Ac 0.250 0.082 0.890  0.01
Sn 0.750 0.735 0.733  -0.01
Sn 0.250 0.265 0.267  -0.01
Rh 0.250 0.717 0.135  0.00
Rh 0.750 0.283 0.865  0.00
Br 0.250 0.128 0.611  0.00
Br 0.750 0.872 0.389  0.00

Values from the calculation:
ΔE_f (raw)	-0.808	eV/atom
electronic total energy	-60.40	eV for the cell shown
M_tot	0.29	μB/f.u.
theoretical density	8.10	Mg/m³

***

Ac6SnRh2Br3 | GGA-PBE | relaxed

Lattice parameters (Å, degrees): 7.849 7.849 8.513 98.93 98.93 119.97
Element x y z (fractional)
Ac 0.932 0.568 0.796
Ac 0.705 0.705 0.204
Ac 0.068 0.432 0.204
Ac 0.568 0.932 0.796
Ac 0.295 0.295 0.796
Ac 0.432 0.068 0.204
Sn 0.000 0.000 0.000
Rh 0.333 0.667 0.000
Rh 0.667 0.333 0.000
Br 0.159 0.841 0.500
Br 0.841 0.159 0.500
Br 0.500 0.500 0.500

Values from the calculation:
ΔE_f (raw)	-1.054	eV/atom
electronic total energy	-61.02	eV for the cell shown
M_tot	0.00	μB/f.u.
theoretical density	7.41	Mg/m³

***

SrAcRhBr | GGA-PBE | relaxed

Lattice parameters (Å, degrees): 4.289 4.290 8.621 90.01 104.39 120.01
Element x y z (fractional)
Sr 0.495 0.146 0.656
Ac 0.098 0.947 0.060
Rh 0.313 0.554 0.882
Br 0.972 0.384 0.371

Values from the calculation:
ΔE_f (raw)	-1.035	eV/atom
electronic total energy	-18.96	eV for the cell shown
M_tot	0.00	μB/f.u.
theoretical density	6.28	Mg/m³

***

Ac3TeRhBr | GGA-PBE | relaxed

Lattice parameters (Å, degrees): 4.440 9.433 10.226 101.86 90.00 90.00
Element x y z (fractional)
Ac 0.250 0.712 0.477
Ac 0.750 0.864 0.103
Ac 0.750 0.447 0.153
Ac 0.750 0.288 0.523
Ac 0.250 0.553 0.847
Ac 0.250 0.136 0.897
Te 0.750 0.817 0.758
Te 0.250 0.183 0.242
Rh 0.250 0.661 0.138
Rh 0.750 0.339 0.862
Br 0.250 0.090 0.598
Br 0.750 0.910 0.402

Values from the calculation:
ΔE_f (raw)	-1.054	eV/atom
electronic total energy	-61.63	eV for the cell shown
M_tot	0.00	μB/f.u.
theoretical density	7.86	Mg/m³

***

Ac8Te4Rh3Br | GGA-PBE | relaxed

Lattice parameters (Å, degrees): 8.982 9.506 8.984 118.21 119.99 90.00
Element x y z (fractional)
Ac 0.251 0.717 0.967
Ac 0.251 0.717 0.501
Ac 0.264 0.292 0.528
Ac 0.716 0.717 0.967
Ac 0.284 0.283 0.033
Ac 0.736 0.708 0.472
Ac 0.749 0.283 0.499
Ac 0.749 0.283 0.033
Te 0.500 0.000 0.000
Te 0.500 0.000 0.500
Te 0.000 0.000 0.000
Te 0.000 0.000 0.500
Rh 0.500 0.500 0.000
Rh 0.500 0.500 0.500
Rh 0.000 0.500 0.500
Br 0.000 0.500 0.000

Values from the calculation:
ΔE_f (raw)	-1.163	eV/atom
electronic total energy	-87.78	eV for the cell shown
M_tot	0.00	μB/f.u.
theoretical density	8.10	Mg/m³